First-principles (PBE) data for crystalline TlHg4Br2 at its relaxed geometry, as listed in Alexandria.

Cell: 8.7719 8.7719 8.7719 Å, 139.99 139.99 57.87°
Fractional positions:
Tl 0.0000 0.0000 0.0000
Hg 0.0000 0.5000 0.5000
Hg 0.1935 0.1935 0.0000
Hg 0.5000 0.0000 0.5000
Hg 0.8065 0.8065 0.0000
Br 0.3719 0.3719 0.0000
Br 0.6281 0.6281 0.0000

Summary:
SG: No. 139
Uncorrected formation energy in eV per atom: -0.116
Spin magnetization in μB per formula unit: 0.000
Density of states at the Fermi level in states/eV/f.u.: 4.0